Compound: BeCd2Rh
Source: Alexandria
Functional: PBE-GGA
Structure: relaxed

Unit cell a=3.987 b=3.131 c=5.496 alpha=73.43 beta=90.00 gamma=90.00
Element x y z (fractional)
Rh (0.000, 0.675, 0.526)
Cd (0.500, 0.292, 0.290)
Cd (0.000, 0.955, 0.966)
Be (0.500, 0.578, 0.717)

ΔH_f (0 K) = -0.1 eV/f.u.
SG = Pm, No. 6
E = -13.0 eV/f.u.